# Ac3Ga2NiO9 | Alexandria | GGA+U | relaxed
# - space group = P-3m1, No. 164
# - DFT total energy (eV per atom) = -6.8324
# - density (g cm⁻³) = 9.07
# - Fermi-level density of states (states/eV per atom) = 0.11
data_Ac3Ga2NiO9
_space_group_name_H-M_alt 'P 1'
_space_group_IT_number 1
_cell_length_a 5.6063
_cell_length_b 5.6063
_cell_length_c 6.8819
_cell_angle_alpha 90.00
_cell_angle_beta 90.00
_cell_angle_gamma 120.00
loop_
_space_group_symop_operation_xyz
'x,y,z'
loop_
_atom_site_label
_atom_site_fract_x
_atom_site_fract_y
_atom_site_fract_z
Ni1 0.0000 0.0000 0.5000
O1 0.8323 0.1677 0.6666
O2 0.8323 0.6646 0.6666
O3 0.0000 0.5000 0.0000
O4 0.1677 0.8323 0.3334
O5 0.5000 0.0000 0.0000
O6 0.6646 0.8323 0.3334
O7 0.3354 0.1677 0.6666
O8 0.1677 0.3354 0.3334
O9 0.5000 0.5000 0.0000
Ac1 0.3333 0.6667 0.6605
Ac2 0.0000 0.0000 0.0000
Ac3 0.6667 0.3333 0.3395
Ga1 0.3333 0.6667 0.1640
Ga2 0.6667 0.3333 0.8360